[1]
DFT (PBE) results for crystalline SrSn2Br6 at its relaxed geometry.

Calculated values
Fermi-level density of states: 0.0 states/eV per cell
volume: 39.0 Å³ per atom
total DFT energy (no corrections): -3.366 eV per atom

Cell lengths 5.7291, 7.8132, 9.0804 Å; angles 72.68, 71.61, 68.49 degrees
Element x y z (fractional)
1 Sr 0.0000 0.5000 0.5000
2 Sn 0.1946 0.7595 0.8512
3 Sn 0.8054 0.2405 0.1488
4 Br 0.7572 0.6557 0.8299
5 Br 0.2428 0.3443 0.1701
6 Br 0.9685 0.8490 0.2141
7 Br 0.3654 0.7349 0.5342
8 Br 0.0315 0.1510 0.7859
9 Br 0.6346 0.2651 0.4658

***

[2]
DFT (PBE) results for crystalline SrSnBr2 at its relaxed geometry.

Calculated values
Fermi-level density of states: 1.4 states/eV per cell
volume: 34.2 Å³ per atom
total DFT energy (no corrections): -3.200 eV per atom

Cell lengths 8.6116, 8.6116, 7.1180 Å; angles 52.78, 52.78, 90.00 degrees
Element x y z (fractional)
1 Sr 0.5000 0.5000 0.0000
2 Sr 0.2500 0.7500 0.5000
3 Sn 0.0000 0.0000 0.0000
4 Sn 0.7500 0.2500 0.5000
5 Br 0.6129 0.1250 0.2500
6 Br 0.1371 0.6250 0.2500
7 Br 0.3750 0.3871 0.7500
8 Br 0.8750 0.8629 0.7500

***

[3]
DFT (PBE) results for crystalline Sr2SnBr6 at its relaxed geometry.

Calculated values
Fermi-level density of states: 0.0 states/eV per cell
volume: 42.9 Å³ per atom
total DFT energy (no corrections): -3.570 eV per atom

Cell lengths 7.8250, 7.8250, 8.5670 Å; angles 62.83, 62.83, 60.00 degrees
Element x y z (fractional)
1 Sr 0.1864 0.1864 0.4409
2 Sr 0.8136 0.8136 0.5591
3 Sn 0.0000 0.0000 0.0000
4 Br 0.7945 0.0904 0.7323
5 Br 0.0904 0.3827 0.7323
6 Br 0.3827 0.7945 0.7323
7 Br 0.2055 0.9096 0.2677
8 Br 0.9096 0.6173 0.2677
9 Br 0.6173 0.2055 0.2677

***

[4]
DFT (PBE) results for crystalline SrTa2SnBr at its relaxed geometry.

Calculated values
Fermi-level density of states: 5.5 states/eV per cell
volume: 35.2 Å³ per atom
total DFT energy (no corrections): -4.965 eV per atom

Cell lengths 5.2191, 6.4568, 5.2191 Å; angles 90.00, 90.00, 90.00 degrees
Site moments in Bohr magnetons follow the coordinates.
Element x y z (fractional)
1 Sr 0.5000 0.5000 0.5000  0.06
2 Sn 0.0000 0.0000 0.0000  0.03
3 Br 0.0000 0.5000 0.0000  0.10
4 Ta 0.0000 0.0000 0.5000  1.39
5 Ta 0.5000 0.0000 0.0000  1.24

***

[5]
DFT (PBE) results for crystalline SrTc2SnBr at its relaxed geometry.

Calculated values
Fermi-level density of states: 4.1 states/eV per cell
volume: 25.1 Å³ per atom
total DFT energy (no corrections): -4.569 eV per atom

Cell lengths 4.7288, 5.6190, 4.7288 Å; angles 90.00, 90.00, 90.00 degrees
Site moments in Bohr magnetons follow the coordinates.
Element x y z (fractional)
1 Sr 0.5000 0.5000 0.5000  -0.01
2 Sn 0.0000 0.5000 0.0000  -0.05
3 Br 0.0000 0.0000 0.0000  0.00
4 Tc 0.0000 0.0000 0.5000  0.71
5 Tc 0.5000 0.0000 0.0000  0.97

***

[6]
DFT (PBE) results for crystalline SrTiSnBr2 at its relaxed geometry.

Calculated values
Fermi-level density of states: 3.8 states/eV per cell
volume: 43.4 Å³ per atom
total DFT energy (no corrections): -2.943 eV per atom

Cell lengths 5.7417, 6.5858, 5.7417 Å; angles 90.00, 90.00, 90.00 degrees
Site moments in Bohr magnetons follow the coordinates.
Element x y z (fractional)
1 Sr 0.0000 0.5000 0.0000  0.02
2 Sn 0.0000 0.0000 0.0000  -0.02
3 Br 0.0000 0.0000 0.5000  -0.01
4 Br 0.5000 0.0000 0.0000  0.00
5 Ti 0.5000 0.5000 0.5000  0.22

***

[7]
DFT (PBE) results for crystalline SrTlSnBr5 at its relaxed geometry.

Calculated values
Fermi-level density of states: 0.0 states/eV per cell
volume: 40.9 Å³ per atom
total DFT energy (no corrections): -3.320 eV per atom

Cell lengths 8.1755, 8.1755, 11.9502 Å; angles 112.20, 112.20, 96.22 degrees
Element x y z (fractional)
1 Sr 0.0000 0.0000 0.5000
2 Sr 0.0000 0.0000 0.0000
3 Tl 0.3153 0.6847 0.2500
4 Tl 0.6847 0.3153 0.7500
5 Sn 0.7453 0.2547 0.2500
6 Sn 0.2547 0.7453 0.7500
7 Br 0.0493 0.9507 0.2500
8 Br 0.9507 0.0493 0.7500
9 Br 0.8954 0.3603 0.0856
10 Br 0.1046 0.6397 0.9144
11 Br 0.6397 0.1046 0.4144
12 Br 0.3603 0.8954 0.5856
13 Br 0.7782 0.6079 0.4222
14 Br 0.2218 0.3921 0.5778
15 Br 0.3921 0.2218 0.0778
16 Br 0.6079 0.7782 0.9222

***

[8]
DFT (PBE) results for crystalline SrZnSnBr2 at its relaxed geometry.

Calculated values
Fermi-level density of states: 2.9 states/eV per cell
volume: 36.4 Å³ per atom
total DFT energy (no corrections): -2.504 eV per atom

Cell lengths 5.9046, 5.2260, 5.9046 Å; angles 90.00, 90.00, 90.00 degrees
Element x y z (fractional)
1 Sr 0.5000 0.5000 0.5000
2 Zn 0.0000 0.5000 0.0000
3 Sn 0.0000 0.0000 0.0000
4 Br 0.0000 0.0000 0.5000
5 Br 0.5000 0.0000 0.0000

***

[9]
DFT (PBE) results for crystalline SrZrSnBr2 at its relaxed geometry.

Calculated values
Fermi-level density of states: 3.2 states/eV per cell
volume: 39.1 Å³ per atom
total DFT energy (no corrections): -3.440 eV per atom

Cell lengths 5.7711, 5.8662, 5.7711 Å; angles 90.00, 90.00, 90.00 degrees
Site moments in Bohr magnetons follow the coordinates.
Element x y z (fractional)
1 Sr 0.5000 0.5000 0.5000  0.05
2 Br 0.0000 0.0000 0.5000  0.01
3 Br 0.5000 0.0000 0.0000  0.01
4 Sn 0.0000 0.0000 0.0000  0.01
5 Zr 0.0000 0.5000 0.0000  1.03

***

[10]
DFT (PBE) results for crystalline TaSn3Br at its relaxed geometry.

Calculated values
Fermi-level density of states: 4.4 states/eV per cell
volume: 32.1 Å³ per atom
total DFT energy (no corrections): -4.870 eV per atom

Cell lengths 5.4361, 5.4361, 5.4361 Å; angles 90.00, 90.00, 90.00 degrees
Element x y z (fractional)
1 Sn 0.0000 0.5000 0.0000
2 Sn 0.0000 0.0000 0.5000
3 Sn 0.5000 0.0000 0.0000
4 Br 0.5000 0.5000 0.5000
5 Ta 0.0000 0.0000 0.0000

***

[11]
DFT (PBE) results for crystalline TaSnBr2 at its relaxed geometry.

Calculated values
Fermi-level density of states: 3.6 states/eV per cell
volume: 21.6 Å³ per atom
total DFT energy (no corrections): -4.125 eV per atom

Cell lengths 4.9625, 4.9625, 4.9625 Å; angles 60.00, 60.00, 60.00 degrees
Element x y z (fractional)
1 Sn 0.0000 0.0000 0.0000
2 Br 0.2500 0.2500 0.2500
3 Br 0.7500 0.7500 0.7500
4 Ta 0.5000 0.5000 0.5000

***

[12]
DFT (PBE) results for crystalline TaSn2Br at its relaxed geometry.

Calculated values
Fermi-level density of states: 4.8 states/eV per cell
volume: 23.6 Å³ per atom
total DFT energy (no corrections): -4.638 eV per atom

Cell lengths 5.1141, 5.1141, 5.1141 Å; angles 60.00, 60.00, 60.00 degrees
Element x y z (fractional)
1 Sn 0.2500 0.2500 0.2500
2 Sn 0.7500 0.7500 0.7500
3 Br 0.0000 0.0000 0.0000
4 Ta 0.5000 0.5000 0.5000